[1]
# LaHoAl

Crystalline LaHoAl at its relaxed geometry (PBE, Alexandria via LeMat-Bulk).

Cell lengths 4.6172, 8.1698, 8.1698 Å; angles 120.00, 90.00, 90.00 degrees
Last column: nearest neighbours and their distance in Å.
Positions (direct):
La 0.0000 0.3996 0.0000  5 Al 3.26-3.40, 2 Ho 3.61
La 0.0000 0.6004 0.6004  5 Al 3.26-3.40, 2 Ho 3.61
La 0.0000 0.0000 0.3996  5 Al 3.26-3.40, 2 Ho 3.61
Al 0.0000 0.0000 0.0000  6 Ho 3.14, 3 La 3.26
Al 0.5000 0.6667 0.3333  3 Ho 3.06, 6 La 3.40
Al 0.5000 0.3333 0.6667  3 Ho 3.06, 6 La 3.40
Ho 0.5000 0.7393 0.0000  4 Al 3.06-3.14
Ho 0.5000 0.2607 0.2607  4 Al 3.06-3.14
Ho 0.5000 0.0000 0.7393  4 Al 3.06-3.14

Summary:
The formation energy comes out at -222 meV per atom. The value obtained for the energy above the most stable polymorph in this dataset is 0.000 eV per atom. Its crystal system is hexagonal. As for the volume: 29.65 Å³ per atom. The total energy comes out at -41.7 eV for the cell shown.

***

[2]
# PmTmN

Crystalline PmTmN at its relaxed geometry (PBE, Alexandria via LeMat-Bulk).

Cell lengths 3.3924, 3.3924, 7.1140 Å; angles 103.79, 103.79, 90.00 degrees
Last column: nearest neighbours and their distance in Å.
Positions (direct):
Tm 0.3293 0.3293 0.6587  1 N 2.12
Pm 0.0331 0.0331 0.0661  4 N 2.47
N 0.4876 0.4876 0.9752  1 Tm 2.12

Summary:
The value obtained for the energy above the most stable polymorph in this dataset is 0.285 eV per atom. Its crystal system is tetragonal. As for the volume: 25.69 Å³ per atom. The calculation puts the energy relative to the elements, uncorrected at -0.7057 eV/atom. The total energy comes out at -19.7 eV for the cell shown.

***

[3]
# Cd3Se

Crystalline Cd3Se at its relaxed geometry (PBE, Alexandria via LeMat-Bulk).

Cell lengths 5.4944, 5.4944, 5.4944 Å; angles 114.32, 114.32, 114.32 degrees
Last column: nearest neighbours and their distance in Å.
Positions (direct):
Cd 0.0000 0.0000 0.0000  2 Se 2.98, 4 Cd 2.98
Cd 0.5000 0.5000 0.0000  4 Cd 2.98, 2 Se 2.98
Cd 0.5000 0.0000 0.5000  4 Cd 2.98, 2 Se 2.98
Se 0.0000 0.5000 0.5000  6 Cd 2.98

Summary:
Its crystal system is trigonal. As for the volume: 24.59 Å³ per atom. The calculation puts the energy relative to the elements, uncorrected at -0.0057 eV/atom. The total energy comes out at -6.3 eV for the cell shown.

***

[4]
# Ba2ReAs

Crystalline Ba2ReAs at its relaxed geometry (PBE, Alexandria via LeMat-Bulk).

Cell lengths 4.3838, 5.0123, 6.3877 Å; angles 66.85, 90.00, 90.00 degrees
Last column: nearest neighbours and their distance in Å.
Positions (direct):
Re 0.0000 0.6694 0.5358  2 As 2.45
Ba 0.0000 0.9832 0.9086  3 Re 3.33-3.68, 4 As 3.51
Ba 0.5000 0.2702 0.3347  3 As 3.38-3.60, 4 Re 3.53
As 0.5000 0.5771 0.7209  2 Re 2.45

Summary:
The formation energy comes out at 44 meV per atom. Its crystal system is orthorhombic. As for the volume: 32.26 Å³ per atom. The total energy comes out at -20.8 eV for the cell shown.

***

[5]
# P2IrI

Crystalline P2IrI at its relaxed geometry (PBE, Alexandria via LeMat-Bulk).

Cell lengths 6.4199, 6.4199, 6.7489 Å; angles 61.60, 61.60, 90.00 degrees
Last column: nearest neighbours and their distance in Å.
Positions (direct):
Ir 0.0000 0.0000 0.0000  4 P 2.23
Ir 0.7500 0.2500 0.5000  4 P 2.23
P 0.8750 0.9833 0.7500  2 Ir 2.23
P 0.0167 0.6250 0.2500  2 Ir 2.23
P 0.7333 0.1250 0.2500  2 Ir 2.23
P 0.3750 0.2667 0.7500  2 Ir 2.23
I 0.2500 0.7500 0.5000  4 P 3.07
I 0.5000 0.5000 0.0000  4 P 3.07

Summary:
The value obtained for the energy above the most stable polymorph in this dataset is 0.000 eV per atom. Its crystal system is tetragonal. As for the volume: 25.73 Å³ per atom. The calculation puts the energy relative to the elements, uncorrected at 0.1339 eV/atom. The total energy comes out at -41.4 eV for the cell shown.

***

[6]
# DyHoAl2

Crystalline DyHoAl2 at its relaxed geometry (PBE, Alexandria via LeMat-Bulk).

Cell lengths 5.0840, 5.0840, 5.0840 Å; angles 60.00, 60.00, 60.00 degrees
Last column: nearest neighbours and their distance in Å.
Positions (direct):
Dy 0.5000 0.5000 0.5000  8 Al 3.11
Al 0.7500 0.7500 0.7500  4 Dy 3.11, 4 Ho 3.11
Al 0.2500 0.2500 0.2500  4 Ho 3.11, 4 Dy 3.11
Ho 0.0000 0.0000 0.0000  8 Al 3.11

Summary:
The formation energy comes out at -395 meV per atom. The value obtained for the energy above the most stable polymorph in this dataset is 0.002 eV per atom. Its crystal system is cubic. As for the volume: 23.23 Å³ per atom. The total energy comes out at -18.2 eV for the cell shown.

***

| no. | DOS at the Fermi energy (states/eV/f.u.) |
| --- | --- |
| 1 | 3.80 |
| 2 | 2.49 |
| 3 | 1.77 |
| 4 | 2.72 |
| 5 | 1.31 |
| 6 | 1.66 |